# 1
A geometry-optimized CaMgNi2 structure, computed with PBE. Values from VASP.

calculated volume: 18.96 A^3/atom
DFT formation energy: -0.07 eV/atom

```
&SYSTEM
  ibrav = 0, nat = 4, ntyp = 3
/
ATOMIC_SPECIES
Ca 40.08 Ca.upf
Mg 24.30 Mg.upf
Ni 58.69 Ni.upf
CELL_PARAMETERS angstrom
3.9443 0.0000 0.0000
0.0000 1.9497 4.9320
0.0000 -1.9497 4.9320
ATOMIC_POSITIONS crystal
Ca 0.0000 0.0000 0.0000
Mg 0.5000 0.7118 0.7118
Ni 0.0000 0.2856 0.2856
Ni 0.5000 0.4011 0.4011
```


# 2
A geometry-optimized Ca3MgNi8 structure, computed with PBE. Values from VASP.

calculated volume: 14.92 A^3/atom
DFT formation energy: -0.19 eV/atom

```
&SYSTEM
  ibrav = 0, nat = 12, ntyp = 3
/
ATOMIC_SPECIES
Ca 40.08 Ca.upf
Mg 24.30 Mg.upf
Ni 58.69 Ni.upf
CELL_PARAMETERS angstrom
2.5118 1.4502 8.1925
-2.5118 1.4502 8.1925
0.0000 -2.9004 8.1925
ATOMIC_POSITIONS crystal
Ca 0.0000 0.0000 0.0000
Ca 0.1264 0.1264 0.1264
Ca 0.6224 0.6224 0.6224
Mg 0.4993 0.4993 0.4993
Ni 0.0609 0.0609 0.5587
Ni 0.0609 0.5587 0.0609
Ni 0.0682 0.5622 0.5622
Ni 0.3120 0.3120 0.3120
Ni 0.5587 0.0609 0.0609
Ni 0.5622 0.0682 0.5622
Ni 0.5622 0.5622 0.0682
Ni 0.8126 0.8126 0.8126
```


# 3
A geometry-optimized Ca3MgNi structure, computed with PBE. Values from VASP.

calculated volume: 32.11 A^3/atom
excess energy over the best structure of this formula in the dataset: 72.9 meV/atom
DFT formation energy: 0.00 eV/atom

```
&SYSTEM
  ibrav = 0, nat = 5, ntyp = 3
/
ATOMIC_SPECIES
Ca 40.08 Ca.upf
Mg 24.30 Mg.upf
Ni 58.69 Ni.upf
CELL_PARAMETERS angstrom
5.4352 0.0000 0.0000
0.0000 5.4352 0.0000
0.0000 0.0000 5.4352
ATOMIC_POSITIONS crystal
Ca 0.0000 0.0000 0.5000
Ca 0.0000 0.5000 0.0000
Ca 0.5000 0.0000 0.0000
Mg 0.5000 0.5000 0.5000
Ni 0.0000 0.0000 0.0000
```


# 4
A geometry-optimized Ca2Mg2Ni structure, computed with PBE. Values from VASP.

calculated volume: 26.12 A^3/atom
DFT formation energy: 0.10 eV/atom

```
&SYSTEM
  ibrav = 0, nat = 10, ntyp = 3
/
ATOMIC_SPECIES
Ca 40.08 Ca.upf
Mg 24.30 Mg.upf
Ni 58.69 Ni.upf
CELL_PARAMETERS angstrom
6.9964 0.0000 0.0000
0.0000 6.9964 0.0000
0.0000 0.0000 5.3363
ATOMIC_POSITIONS crystal
Ca 0.1793 0.3207 0.0000
Ca 0.3207 0.8207 0.0000
Ca 0.6793 0.1793 0.0000
Ca 0.8207 0.6793 0.0000
Mg 0.1508 0.6508 0.5000
Mg 0.3492 0.1508 0.5000
Mg 0.6508 0.8492 0.5000
Mg 0.8492 0.3492 0.5000
Ni 0.0000 0.0000 0.5000
Ni 0.5000 0.5000 0.5000
```


# 5
A geometry-optimized CaMg2Ni9 structure, computed with PBE. Values from VASP.

calculated volume: 13.42 A^3/atom
DFT formation energy: -0.17 eV/atom

```
&SYSTEM
  ibrav = 0, nat = 12, ntyp = 3
/
ATOMIC_SPECIES
Ca 40.08 Ca.upf
Mg 24.30 Mg.upf
Ni 58.69 Ni.upf
CELL_PARAMETERS angstrom
2.4390 1.4081 7.8180
-2.4390 1.4081 7.8180
0.0000 -2.8163 7.8180
ATOMIC_POSITIONS crystal
Ca 0.0000 0.0000 0.0000
Mg 0.1429 0.1429 0.1429
Mg 0.8571 0.8571 0.8571
Ni 0.0820 0.5860 0.5860
Ni 0.3335 0.3335 0.3335
Ni 0.4140 0.4140 0.9180
Ni 0.4140 0.9180 0.4140
Ni 0.5000 0.5000 0.5000
Ni 0.5860 0.0820 0.5860
Ni 0.5860 0.5860 0.0820
Ni 0.6665 0.6665 0.6665
Ni 0.9180 0.4140 0.4140
```


# 6
A geometry-optimized CaMgNi2 structure, computed with PBE. Values from VASP.

calculated volume: 16.96 A^3/atom
DFT formation energy: 0.09 eV/atom

```
&SYSTEM
  ibrav = 0, nat = 4, ntyp = 3
/
ATOMIC_SPECIES
Ca 40.08 Ca.upf
Mg 24.30 Mg.upf
Ni 58.69 Ni.upf
CELL_PARAMETERS angstrom
-1.9498 1.9498 4.4623
1.9498 -1.9498 4.4623
1.9498 1.9498 -4.4623
ATOMIC_POSITIONS crystal
Ca 0.0000 0.0000 0.0000
Mg 0.2500 0.7500 0.5000
Ni 0.5000 0.5000 0.0000
Ni 0.7500 0.2500 0.5000
```